Crystalline InNi9Sb2 at its relaxed geometry. Source: Alexandria, functional GGA-PBE.

## Properties
The total energy is -64.633 eV for the cell shown. The space group is P4/mmm (123). As for the formation energy from raw total energies: -0.1349 eV/atom.

Cell lengths 3.734, 3.734, 11.188 Å; angles 90.00, 90.00, 90.00 degrees
Fractional positions:
In: 0.000 0.000 0.000
Ni: 0.000 0.500 0.170
Ni: 0.000 0.500 0.500
Ni: 0.000 0.500 0.830
Ni: 0.500 0.000 0.170
Ni: 0.500 0.000 0.500
Ni: 0.500 0.000 0.830
Ni: 0.500 0.500 0.000
Ni: 0.500 0.500 0.337
Ni: 0.500 0.500 0.663
Sb: 0.000 0.000 0.331
Sb: 0.000 0.000 0.669